Below is a relaxed TbSmAlCd crystal, with properties calculated at the PBE-GGA level.

```
TbSmAlCd
1.0
5.269 0.000 0.000
2.634 4.563 0.000
2.634 1.521 4.302
Al Tb Cd Sm
1 1 1 1
direct
0.250 0.250 0.250
0.500 0.500 0.500
0.750 0.750 0.750
0.000 0.000 0.000
```

## Properties
Total DFT energy (no corrections) = -3.850 eV per atom
Space-group type = No. 216
Formation enthalpy at 0 K = -348.3 meV per atom